The following is a DFT calculation (PBE) of a relaxed structure of AsIrRu2.

Computed properties:
**ρ**: 13447 kg/m³
**Calculated total energy**: -7.842 eV/atom
**Total moment**: 0.0 μB per formula unit
**Energy of formation**: 174 meV/atom

Unit cell a=2.8471 b=2.8471 c=7.1491 alpha=90.00 beta=90.00 gamma=90.00
Fractional positions:
As 0.0000 0.0000 0.0000
Ir 0.5000 0.5000 0.2444
Ru 0.0000 0.0000 0.5115
Ru 0.5000 0.5000 0.7567

The following is a DFT calculation (PBE) of a relaxed structure of As2IrRu.

Computed properties:
**ρ**: 11615 kg/m³
**Distance to the lowest polymorph of the same formula**: 222.7 meV/atom
**Calculated total energy**: -6.710 eV/atom
**Total moment**: 0.0 μB per formula unit
**Energy of formation**: 149 meV/atom

Unit cell a=3.0604 b=4.3135 c=9.5979 alpha=90.00 beta=90.00 gamma=90.00
Fractional positions:
As 0.0000 0.0000 0.0000
As 0.0000 0.5000 0.2254
As 0.5000 0.0000 0.7254
As 0.5000 0.5000 0.5000
Ir 0.0000 0.5000 0.7179
Ir 0.5000 0.0000 0.2179
Ru 0.0000 0.0000 0.5126
Ru 0.5000 0.5000 0.0126

The following is a DFT calculation (PBE) of a relaxed structure of As2IrRu.

Computed properties:
**ρ**: 11154 kg/m³
**Distance to the lowest polymorph of the same formula**: 57.6 meV/atom
**Calculated total energy**: -6.875 eV/atom
**Total moment**: 0.0 μB per formula unit
**Energy of formation**: -16 meV/atom

Unit cell a=8.0278 b=3.4955 c=4.8581 alpha=90.00 beta=104.56 gamma=90.00
Fractional positions:
As 0.0000 0.0000 0.0000
As 0.2217 0.0000 0.5700
As 0.5000 0.5000 0.0000
As 0.7217 0.5000 0.5700
Ir 0.4856 0.0000 0.3670
Ir 0.9856 0.5000 0.3670
Ru 0.2017 0.5000 0.9561
Ru 0.7017 0.0000 0.9561

The following is a DFT calculation (PBE) of a relaxed structure of As2IrRu.

Computed properties:
**ρ**: 12162 kg/m³
**Distance to the lowest polymorph of the same formula**: 224.3 meV/atom
**Calculated total energy**: -6.708 eV/atom
**Total moment**: 1.0 μB per formula unit
**Energy of formation**: 151 meV/atom

Unit cell a=6.2318 b=6.2318 c=6.2318 alpha=90.00 beta=90.00 gamma=90.00
Fractional positions:
As 0.2500 0.2500 0.2500
As 0.2500 0.2500 0.7500
As 0.2500 0.7500 0.2500
As 0.2500 0.7500 0.7500
As 0.7500 0.2500 0.2500
As 0.7500 0.2500 0.7500
As 0.7500 0.7500 0.2500
As 0.7500 0.7500 0.7500
Ir 0.0000 0.0000 0.0000
Ir 0.0000 0.5000 0.5000
Ir 0.5000 0.0000 0.5000
Ir 0.5000 0.5000 0.0000
Ru 0.0000 0.0000 0.5000
Ru 0.0000 0.5000 0.0000
Ru 0.5000 0.0000 0.0000
Ru 0.5000 0.5000 0.5000

The following is a DFT calculation (PBE) of a relaxed structure of As4IrRu.

Computed properties:
**ρ**: 9449 kg/m³
**Distance to the lowest polymorph of the same formula**: 1135.3 meV/atom
**Calculated total energy**: -5.158 eV/atom
**Total moment**: 0.0 μB per formula unit
**Energy of formation**: 964 meV/atom

Unit cell a=5.2821 b=5.2821 c=5.2821 alpha=60.00 beta=60.00 gamma=60.00
Fractional positions:
As 0.1251 0.1251 0.1251
As 0.1251 0.1251 0.6246
As 0.1251 0.6246 0.1251
As 0.6246 0.1251 0.1251
Ir 0.7500 0.7500 0.7500
Ru 0.5000 0.5000 0.5000

The following is a DFT calculation (PBE) of a relaxed structure of AsIrRu2S.

Computed properties:
**ρ**: 9760 kg/m³
**Formation energy (no corrections)**: 493 kJ/mol of formula units
**Calculated total energy**: -6.216 eV/atom
**Total moment**: 0.0 μB per formula unit

Unit cell a=4.2618 b=4.2618 c=4.6963 alpha=90.00 beta=90.00 gamma=90.00
Fractional positions:
As 0.0000 0.0000 0.0000
Ir 0.5000 0.5000 0.0000
Ru 0.0000 0.5000 0.5000
Ru 0.5000 0.0000 0.5000
S 0.0000 0.0000 0.5000